1.
Compound: La12SmHo5
Source: the Alexandria database
Functional: GGA-PBE
Structure: relaxed

The structure belongs to space group C2/m (No. 12); the cell edges are 19.0883, 10.9207 and 6.3796 Å and the angles 90.00°, 109.12° and 90.00°. The asymmetric unit holds La at (0.0000, 0.1696, 0.0000), La at (0.0000, 0.3282, 0.5000), La at (0.1666, 0.1709, 0.8338), La at (0.1668, 0.3289, 0.3341), Sm at (0.0000, 0.5000, 0.0000), Ho at (0.0000, 0.0000, 0.5000), Ho at (0.1667, 0.0000, 0.3339) and Ho at (0.1672, 0.5000, 0.8325).

The value obtained for the density of states at the Fermi level is 53.46 states/eV/cell. Its calculated total energy is -4.799 eV per atom. For the calculated formation energy, the calculation gives 0.02 eV per atom. The value obtained for the magnetization is 0.000 μB/f.u.

---

2.
Compound: Cu2SiIr
Source: the Alexandria database
Functional: GGA-PBE
Structure: relaxed

The structure belongs to space group R3m (No. 160, hexagonal axes); the cell edges are 2.7904, 2.7904 and 23.6429 Å and the angles 90.00°, 90.00° and 120.00°. The asymmetric unit holds Cu at (0.0000, 0.0000, 0.0000), Cu at (0.0000, 0.0000, 0.2490), Si at (0.0000, 0.0000, 0.5026) and Ir at (0.0000, 0.0000, 0.7580).

The uncorrected formation energy comes out at -24 kJ/mol of formula units. The value obtained for the density of states at the Fermi level is 9.69 states/eV/cell. Its calculated total energy is -5.681 eV per atom. The value obtained for the magnetization is 0.000 μB/f.u.

---

3.
Compound: LaErPu
Source: the Alexandria database
Functional: GGA-PBE
Structure: relaxed

The structure belongs to space group I4mm (No. 107); the cell edges are 3.5565, 3.5565 and 14.9087 Å and the angles 90.00°, 90.00° and 90.00°. The asymmetric unit holds La at (0.0000, 0.0000, 0.0000), Er at (0.0000, 0.0000, 0.3243) and Pu at (0.0000, 0.0000, 0.6664).

As for the energy above the most stable polymorph in this dataset: 0.0000 eV/atom. The value obtained for the density of states at the Fermi level is 14.29 states/eV/cell. Its calculated total energy is -7.817 eV per atom. For the calculated formation energy, the calculation gives 0.12 eV per atom. The value obtained for the magnetization is 6.063 μB/f.u.

---

4.
Compound: RbAg2Sn9
Source: the Alexandria database
Functional: GGA-PBE
Structure: relaxed

The structure belongs to space group I4_1/amd (No. 141, origin choice 2); the cell edges are 12.5855, 12.5855 and 8.7056 Å and the angles 90.00°, 90.00° and 90.00°. The asymmetric unit holds Rb at (0.0000, 0.2500, 0.3750), Ag at (0.0000, 0.0000, 0.0000), Sn at (0.0000, 0.2500, 0.8750) and Sn at (0.1273, 0.0542, 0.6768).

The value obtained for the density of states at the Fermi level is 20.86 states/eV/cell. Its calculated total energy is -3.563 eV per atom. For the calculated formation energy, the calculation gives 0.00 eV per atom. The value obtained for the magnetization is 0.000 μB/f.u.

---

5.
Compound: Tb5CoRh4
Source: the Alexandria database
Functional: GGA-PBE
Structure: relaxed

The structure belongs to space group P4/mmm (No. 123); the cell edges are 3.4222, 3.4222 and 17.1967 Å and the angles 90.00°, 90.00° and 90.00°. The asymmetric unit holds Tb at (0.0000, 0.0000, 0.0000), Tb at (0.0000, 0.0000, 0.2017), Tb at (0.0000, 0.0000, 0.4031), Co at (0.5000, 0.5000, 0.5000), Rh at (0.5000, 0.5000, 0.1008) and Rh at (0.5000, 0.5000, 0.3016).

The value obtained for the density of states at the Fermi level is 5.98 states/eV/cell. Its calculated total energy is -6.658 eV per atom. For the calculated formation energy, the calculation gives -0.69 eV per atom. The value obtained for the magnetization is 0.703 μB/f.u.

---

6.
Compound: Hg2Te2H
Source: the Alexandria database
Functional: GGA-PBE
Structure: relaxed

The structure belongs to space group P-1 (No. 2); the cell edges are 4.6115, 7.9001 and 9.0414 Å and the angles 110.33°, 97.34° and 90.84°. The asymmetric unit holds Hg at (0.1254, 0.1284, 0.2865), Hg at (0.3737, 0.3711, 0.7133), Te at (0.1108, 0.7460, 0.1497), Te at (0.3894, 0.7534, 0.8495) and H at (0.2503, 0.2477, 0.5003).

The value obtained for the density of states at the Fermi level is 4.65 states/eV/cell. Its calculated total energy is -1.932 eV per atom. The value obtained for the magnetization is 0.000 μB/f.u.